Record 1
A plane-wave DFT calculation with GGA-PBEsol was carried out for crystalline TlCrBr2 at its relaxed geometry. Values from VASP.

Summary:
- raw formation energy (eV per atom) = -0.20
- volume (Å³ per cell) = 106.1
- space group = No. 44
- magnetization (μB/f.u.) = 4.7
- E above lowest polymorph (meV per atom) = 0

Quantum ESPRESSO input file:
```
&SYSTEM
  ibrav = 0, nat = 4, ntyp = 3
/
ATOMIC_SPECIES
Tl 204.38 Tl.upf
Cr 52.00 Cr.upf
Br 79.90 Br.upf
ATOMIC_POSITIONS angstrom
Tl 0.000 0.000 0.000
Cr 1.764 0.000 3.714
Br 0.000 0.000 5.719
Br 0.000 1.925 2.701
CELL_PARAMETERS angstrom
-1.764 1.925 7.808
1.764 -1.925 7.808
1.764 1.925 -7.808
```



Record 2
A plane-wave DFT calculation with GGA-PBEsol was carried out for crystalline LiLaIn at its relaxed geometry. Values from VASP.

Summary:
- volume (Å³ per cell) = 76.2
- E_form (meV per atom) = -366.9
- space group = No. 187
- magnetization (μB/f.u.) = 0.0

Quantum ESPRESSO input file:
```
&SYSTEM
  ibrav = 0, nat = 3, ntyp = 3
/
ATOMIC_SPECIES
Li 6.94 Li.upf
La 138.91 La.upf
In 114.82 In.upf
ATOMIC_POSITIONS angstrom
Li 0.000 0.000 0.000
La 0.000 2.939 1.697
In 2.545 1.470 0.000
CELL_PARAMETERS angstrom
5.091 0.000 0.000
-2.545 4.409 0.000
0.000 0.000 3.393
```



Record 3
A plane-wave DFT calculation with GGA-PBEsol was carried out for crystalline Hf2SeO2 at its relaxed geometry. Values from VASP.

Summary:
- raw formation energy (eV per atom) = -2.48
- volume (Å³ per cell) = 69.8
- space group = No. 139
- magnetization (μB/f.u.) = 0.0

Quantum ESPRESSO input file:
```
&SYSTEM
  ibrav = 0, nat = 5, ntyp = 3
/
ATOMIC_SPECIES
Hf 178.49 Hf.upf
Se 78.96 Se.upf
O 16.00 O.upf
ATOMIC_POSITIONS angstrom
Hf 0.000 0.000 1.506
Hf 0.000 0.000 8.935
Se 0.000 0.000 5.221
O 1.829 0.000 2.610
O 0.000 1.829 2.610
CELL_PARAMETERS angstrom
-1.829 1.829 5.221
1.829 -1.829 5.221
1.829 1.829 -5.221
```



Record 4
A plane-wave DFT calculation with GGA-PBEsol was carried out for crystalline InPt3W at its relaxed geometry. Values from VASP.

Summary:
- volume (Å³ per cell) = 112.2
- E_form (meV per atom) = 1057.2
- space group = No. 221
- magnetization (μB/f.u.) = 0.0

Quantum ESPRESSO input file:
```
&SYSTEM
  ibrav = 0, nat = 5, ntyp = 3
/
ATOMIC_SPECIES
In 114.82 In.upf
Pt 195.08 Pt.upf
W 183.84 W.upf
ATOMIC_POSITIONS angstrom
In 0.000 0.000 0.000
Pt 0.000 2.412 2.412
Pt 2.412 0.000 2.412
Pt 2.412 2.412 0.000
W 2.412 2.412 2.412
CELL_PARAMETERS angstrom
4.824 0.000 0.000
0.000 4.824 0.000
0.000 0.000 4.824
```



Record 5
A plane-wave DFT calculation with GGA-PBEsol was carried out for crystalline Li2TcO3 at its relaxed geometry. Values from VASP.

Summary:
- raw formation energy (eV per atom) = -1.82
- volume (Å³ per cell) = 197.3
- space group = No. 15
- magnetization (μB/f.u.) = 0.0

Quantum ESPRESSO input file:
```
&SYSTEM
  ibrav = 0, nat = 24, ntyp = 3
/
ATOMIC_SPECIES
Li 6.94 Li.upf
Tc 98.00 Tc.upf
O 16.00 O.upf
ATOMIC_POSITIONS angstrom
Li 0.408 2.064 5.006
Li 1.209 3.442 7.509
Li -0.433 0.658 10.011
Li 0.352 -0.658 5.005
Li 1.193 -2.064 0.000
Li 2.850 0.658 5.008
Li 3.635 -0.658 0.001
Li 1.994 -3.442 2.503
Tc 1.994 2.054 2.503
Tc 1.209 0.692 7.509
Tc 1.994 -0.692 2.503
Tc 1.209 -2.054 7.509
O -0.404 0.658 6.300
O 0.433 2.101 8.732
O 0.381 -0.658 1.294
O 1.162 0.682 3.727
O 1.984 2.101 6.287
O 0.377 -0.682 8.733
O 2.825 0.682 1.279
O 1.218 -2.101 3.725
O 2.040 -0.682 6.286
O 2.821 0.658 8.719
O 2.770 -2.101 1.281
O 3.606 -0.658 3.713
CELL_PARAMETERS angstrom
2.386 -4.128 0.000
2.386 4.128 0.000
-1.570 0.000 10.013
```



Record 6
A plane-wave DFT calculation with GGA-PBEsol was carried out for crystalline LiLa3Ta at its relaxed geometry. Values from VASP.

Summary:
- volume (Å³ per cell) = 133.8
- E_form (meV per atom) = 1050.0
- space group = No. 221
- magnetization (μB/f.u.) = 0.8

Quantum ESPRESSO input file:
```
&SYSTEM
  ibrav = 0, nat = 5, ntyp = 3
/
ATOMIC_SPECIES
Li 6.94 Li.upf
La 138.91 La.upf
Ta 180.95 Ta.upf
ATOMIC_POSITIONS angstrom
Li 0.000 0.000 0.000
La 0.000 0.000 2.557
La 0.000 2.557 0.000
La 2.557 0.000 0.000
Ta 2.557 2.557 2.557
CELL_PARAMETERS angstrom
5.114 0.000 0.000
0.000 5.114 0.000
0.000 0.000 5.114
```



Record 7
A plane-wave DFT calculation with GGA-PBEsol was carried out for crystalline Mg2InAuSe at its relaxed geometry. Values from VASP.

Summary:
- raw formation energy (eV per atom) = 0.02
- volume (Å³ per cell) = 133.8
- space group = No. 123
- magnetization (μB/f.u.) = 0.0

Quantum ESPRESSO input file:
```
&SYSTEM
  ibrav = 0, nat = 5, ntyp = 4
/
ATOMIC_SPECIES
Mg 24.30 Mg.upf
In 114.82 In.upf
Au 196.97 Au.upf
Se 78.96 Se.upf
ATOMIC_POSITIONS angstrom
Mg 0.000 2.517 0.000
Mg 2.517 0.000 0.000
In 0.000 0.000 2.638
Au 2.517 2.517 0.000
Se 2.517 2.517 2.638
CELL_PARAMETERS angstrom
5.035 0.000 0.000
0.000 5.035 0.000
0.000 0.000 5.277
```



Record 8
A plane-wave DFT calculation with GGA-PBEsol was carried out for crystalline Mg4NiP at its relaxed geometry. Values from VASP.

Summary:
- volume (Å³ per cell) = 111.6
- E_form (meV per atom) = 453.0
- space group = No. 216
- magnetization (μB/f.u.) = 0.0

Quantum ESPRESSO input file:
```
&SYSTEM
  ibrav = 0, nat = 6, ntyp = 3
/
ATOMIC_SPECIES
Mg 24.30 Mg.upf
Ni 58.69 Ni.upf
P 30.97 P.upf
ATOMIC_POSITIONS angstrom
Mg 0.957 0.957 0.957
Mg 2.865 2.865 0.957
Mg 2.865 0.957 2.865
Mg 0.957 2.865 2.865
Ni 3.821 3.821 3.821
P 5.732 5.732 5.732
CELL_PARAMETERS angstrom
0.000 3.821 3.821
3.821 0.000 3.821
3.821 3.821 0.000
```



Record 9
A plane-wave DFT calculation with GGA-PBEsol was carried out for crystalline TaAgSe2 at its relaxed geometry. Values from VASP.

Summary:
- raw formation energy (eV per atom) = 0.49
- volume (Å³ per cell) = 71.9
- space group = No. 216
- magnetization (μB/f.u.) = 0.0

Quantum ESPRESSO input file:
```
&SYSTEM
  ibrav = 0, nat = 4, ntyp = 3
/
ATOMIC_SPECIES
Ta 180.95 Ta.upf
Ag 107.87 Ag.upf
Se 78.96 Se.upf
ATOMIC_POSITIONS angstrom
Ta 0.000 0.000 0.000
Ag 1.650 1.650 1.650
Se 3.300 3.300 3.300
Se 4.951 4.951 4.951
CELL_PARAMETERS angstrom
0.000 3.300 3.300
3.300 0.000 3.300
3.300 3.300 0.000
```



Record 10
A plane-wave DFT calculation with GGA-PBEsol was carried out for crystalline SnI2NO at its relaxed geometry. Values from VASP.

Summary:
- raw formation energy (eV per atom) = 0.72
- volume (Å³ per cell) = 135.8
- space group = No. 123
- magnetization (μB/f.u.) = 2.9

Quantum ESPRESSO input file:
```
&SYSTEM
  ibrav = 0, nat = 5, ntyp = 4
/
ATOMIC_SPECIES
Sn 118.71 Sn.upf
I 126.90 I.upf
N 14.01 N.upf
O 16.00 O.upf
ATOMIC_POSITIONS angstrom
Sn 0.000 0.000 0.000
I 0.000 2.944 0.000
I 2.944 0.000 0.000
N 2.944 2.944 1.959
O 0.000 0.000 1.959
CELL_PARAMETERS angstrom
5.887 0.000 0.000
0.000 5.887 0.000
0.000 0.000 3.919
```



Record 11
A plane-wave DFT calculation with GGA-PBEsol was carried out for crystalline GaFe2GeAu at its relaxed geometry. Values from VASP.

Summary:
- volume (Å³ per cell) = 91.7
- E_form (meV per atom) = 949.2
- space group = No. 123
- magnetization (μB/f.u.) = 5.4

Quantum ESPRESSO input file:
```
&SYSTEM
  ibrav = 0, nat = 5, ntyp = 4
/
ATOMIC_SPECIES
Ga 69.72 Ga.upf
Fe 55.84 Fe.upf
Ge 72.64 Ge.upf
Au 196.97 Au.upf
ATOMIC_POSITIONS angstrom
Ga 0.000 0.000 0.000
Fe 0.000 2.220 0.000
Fe 2.220 0.000 0.000
Ge 2.220 2.220 2.326
Au 0.000 0.000 2.326
CELL_PARAMETERS angstrom
4.439 0.000 0.000
0.000 4.439 0.000
0.000 0.000 4.652
```



Record 12
A plane-wave DFT calculation with GGA-PBEsol was carried out for crystalline BaMgW2 at its relaxed geometry. Values from VASP.

Summary:
- volume (Å³ per cell) = 82.0
- E_form (meV per atom) = 1299.2
- space group = No. 216
- magnetization (μB/f.u.) = 0.9

Quantum ESPRESSO input file:
```
&SYSTEM
  ibrav = 0, nat = 4, ntyp = 3
/
ATOMIC_SPECIES
Ba 137.33 Ba.upf
Mg 24.30 Mg.upf
W 183.84 W.upf
ATOMIC_POSITIONS angstrom
Ba 0.000 0.000 0.000
Mg 1.724 1.724 1.724
W 3.448 3.448 3.448
W 5.173 5.173 5.173
CELL_PARAMETERS angstrom
0.000 3.448 3.448
3.448 0.000 3.448
3.448 3.448 0.000
```